w.
Here is a relaxed Sr4AlHg crystal from the Alexandria database. Energies are from PBE-GGA.

Structure (CIF):
```
data_Sr4AlHg
_space_group_name_H-M_alt 'R -3 m'
_space_group_IT_number 166
_space_group_name_Hall '-R 3 2"'
_cell_length_a 5.6275
_cell_length_b 5.6275
_cell_length_c 27.7147
_cell_angle_alpha 90.00
_cell_angle_beta 90.00
_cell_angle_gamma 120.00
loop_
_atom_site_label
_atom_site_fract_x
_atom_site_fract_y
_atom_site_fract_z
Sr1 0.0000 0.0000 0.1220
Sr2 0.0000 0.0000 0.3722
Al1 0.0000 0.0000 0.0000
Hg1 0.0000 0.0000 0.5000
```



x.
Here is a relaxed Sr4AlHg crystal from the Alexandria database. Energies are from PBE-GGA.

Structure (CIF):
```
data_Sr4AlHg
_space_group_name_H-M_alt 'P 4/m m m'
_space_group_IT_number 123
_space_group_name_Hall '-P 4 2'
_cell_length_a 4.0287
_cell_length_b 4.0287
_cell_length_c 14.3018
_cell_angle_alpha 90.00
_cell_angle_beta 90.00
_cell_angle_gamma 90.00
loop_
_atom_site_label
_atom_site_fract_x
_atom_site_fract_y
_atom_site_fract_z
Sr1 0.0000 0.0000 0.1316
Sr2 0.5000 0.5000 0.3650
Al1 0.5000 0.5000 0.0000
Hg1 0.0000 0.0000 0.5000
```



y.
Here is a relaxed Sr4AlHg crystal from the Alexandria database. Energies are from PBE-GGA.

Structure (CIF):
```
data_Sr4AlHg
_space_group_name_H-M_alt 'F -4 3 m'
_space_group_IT_number 216
_space_group_name_Hall 'F -4 2 3'
_cell_length_a 10.0733
_cell_length_b 10.0733
_cell_length_c 10.0733
_cell_angle_alpha 90.00
_cell_angle_beta 90.00
_cell_angle_gamma 90.00
loop_
_atom_site_label
_atom_site_fract_x
_atom_site_fract_y
_atom_site_fract_z
Sr1 0.1245 0.1245 0.1245
Al1 0.2500 0.2500 0.7500
Hg1 0.0000 0.0000 0.5000
```



Winner for stability: x



w.
Here is a relaxed TaAl3Hg crystal from the Alexandria database. Energies are from PBE-GGA.

Structure (CIF):
```
data_TaAl3Hg
_space_group_name_H-M_alt 'P m -3 m'
_space_group_IT_number 221
_space_group_name_Hall '-P 4 2 3'
_cell_length_a 5.1194
_cell_length_b 5.1194
_cell_length_c 5.1194
_cell_angle_alpha 90.00
_cell_angle_beta 90.00
_cell_angle_gamma 90.00
loop_
_atom_site_label
_atom_site_fract_x
_atom_site_fract_y
_atom_site_fract_z
Ta1 0.0000 0.0000 0.0000
Al1 0.0000 0.0000 0.5000
Hg1 0.5000 0.5000 0.5000
```



x.
Here is a relaxed TaAl3Hg crystal from the Alexandria database. Energies are from PBE-GGA.

Structure (CIF):
```
data_TaAl3Hg
_space_group_name_H-M_alt 'P m -3 m'
_space_group_IT_number 221
_space_group_name_Hall '-P 4 2 3'
_cell_length_a 4.8506
_cell_length_b 4.8506
_cell_length_c 4.8506
_cell_angle_alpha 90.00
_cell_angle_beta 90.00
_cell_angle_gamma 90.00
loop_
_atom_site_label
_atom_site_fract_x
_atom_site_fract_y
_atom_site_fract_z
Ta1 0.0000 0.0000 0.0000
Al1 0.0000 0.5000 0.5000
Hg1 0.5000 0.5000 0.5000
```



Winner for stability: w



w.
Here is a relaxed Tb6AlHg2 crystal from the Alexandria database. Energies are from PBE-GGA.

Structure (CIF):
```
data_Tb6AlHg2
_space_group_name_H-M_alt 'F m m m'
_space_group_IT_number 69
_space_group_name_Hall '-F 2 2'
_cell_length_a 5.1362
_cell_length_b 12.6766
_cell_length_c 15.4269
_cell_angle_alpha 90.00
_cell_angle_beta 90.00
_cell_angle_gamma 90.00
loop_
_atom_site_label
_atom_site_fract_x
_atom_site_fract_y
_atom_site_fract_z
Tb1 0.0000 0.1505 0.1660
Tb2 0.0000 0.1549 0.5000
Al1 0.0000 0.0000 0.0000
Hg1 0.0000 0.0000 0.3386
```



x.
Here is a relaxed Tb6AlHg2 crystal from the Alexandria database. Energies are from PBE-GGA.

Structure (CIF):
```
data_Tb6AlHg2
_space_group_name_H-M_alt 'I m m m'
_space_group_IT_number 71
_space_group_name_Hall '-I 2 2'
_cell_length_a 9.9941
_cell_length_b 10.0466
_cell_length_c 10.2089
_cell_angle_alpha 90.00
_cell_angle_beta 90.00
_cell_angle_gamma 90.00
loop_
_atom_site_label
_atom_site_fract_x
_atom_site_fract_y
_atom_site_fract_z
Tb1 0.0000 0.1724 0.2307
Tb2 0.1758 0.5000 0.2362
Tb3 0.1950 0.2461 0.5000
Al1 0.0000 0.0000 0.5000
Al2 0.0000 0.5000 0.5000
Hg1 0.0000 0.3580 0.0000
Hg2 0.1494 0.0000 0.0000
```



Winner for stability: w



w.
Here is a relaxed Tb6Al2Hg crystal from the Alexandria database. Energies are from PBE-GGA.

Structure (CIF):
```
data_Tb6Al2Hg
_space_group_name_H-M_alt 'I m m m'
_space_group_IT_number 71
_space_group_name_Hall '-I 2 2'
_cell_length_a 9.7353
_cell_length_b 9.9154
_cell_length_c 10.5023
_cell_angle_alpha 90.00
_cell_angle_beta 90.00
_cell_angle_gamma 90.00
loop_
_atom_site_label
_atom_site_fract_x
_atom_site_fract_y
_atom_site_fract_z
Tb1 0.0000 0.2115 0.1761
Tb2 0.1796 0.2285 0.5000
Tb3 0.1992 0.5000 0.2513
Al1 0.0000 0.0000 0.3765
Al2 0.1401 0.0000 0.0000
Hg1 0.0000 0.5000 0.0000
Hg2 0.0000 0.5000 0.5000
```



x.
Here is a relaxed Tb6Al2Hg crystal from the Alexandria database. Energies are from PBE-GGA.

Structure (CIF):
```
data_Tb6Al2Hg
_space_group_name_H-M_alt 'I m m m'
_space_group_IT_number 71
_space_group_name_Hall '-I 2 2'
_cell_length_a 5.0471
_cell_length_b 7.2187
_cell_length_c 15.2362
_cell_angle_alpha 90.00
_cell_angle_beta 90.00
_cell_angle_gamma 90.00
loop_
_atom_site_label
_atom_site_fract_x
_atom_site_fract_y
_atom_site_fract_z
Tb1 0.0000 0.2474 0.0000
Tb2 0.0000 0.2500 0.3322
Al1 0.0000 0.0000 0.1668
Hg1 0.0000 0.0000 0.5000
```



Winner for stability: w